Crystalline KTaGe2Pt at its relaxed geometry. Source: Alexandria via LeMat-Bulk, functional PBE.

The size of the total moment is 0.0 μB per formula unit. Its space group is P4/mmm, No. 123. Its electronic total energy is -3.14 eV per atom.

Cell lengths 5.0455, 4.7007, 5.0455 Å; angles 90.00, 90.00, 90.00 degrees
Element x y z (fractional)
Ge (0.0000, 0.0000, 0.5000)
Ge (0.5000, 0.0000, 0.0000)
K (0.0000, 0.0000, 0.0000)
Pt (0.5000, 0.5000, 0.5000)
Ta (0.0000, 0.5000, 0.0000)

=====

Crystalline KVGe2Pt at its relaxed geometry. Source: Alexandria via LeMat-Bulk, functional PBE.

The size of the total moment is 0.0 μB per formula unit. Its space group is P4/mmm, No. 123. Its electronic total energy is -4.94 eV per atom.

Cell lengths 4.8461, 4.8230, 4.8461 Å; angles 90.00, 90.00, 90.00 degrees
Element x y z (fractional)
Ge (0.0000, 0.0000, 0.5000)
Ge (0.5000, 0.0000, 0.0000)
K (0.5000, 0.5000, 0.5000)
Pt (0.0000, 0.5000, 0.0000)
V (0.0000, 0.0000, 0.0000)

=====

Crystalline KZnGePt at its relaxed geometry. Source: Alexandria via LeMat-Bulk, functional PBE.

The size of the total moment is 0.0 μB per formula unit. Its space group is R3m, No. 160. Its electronic total energy is -3.60 eV per atom.

Cell lengths 4.3378, 4.3378, 6.7072 Å; angles 90.00, 108.82, 120.09 degrees
Element x y z (fractional)
K (0.4085, 0.0694, 0.4779)
Zn (0.0319, 0.8803, 0.9122)
Ge (0.4853, 0.6072, 0.0926)
Pt (0.7664, 0.2475, 0.0139)

=====

Crystalline KZn2GePt at its relaxed geometry. Source: Alexandria via LeMat-Bulk, functional PBE.

The size of the total moment is 0.0 μB per formula unit. Its space group is P4/mmm, No. 123. Its electronic total energy is -3.04 eV per atom.

Cell lengths 4.9862, 4.9862, 4.8732 Å; angles 90.00, 90.00, 90.00 degrees
Element x y z (fractional)
K (0.5000, 0.5000, 0.5000)
Ge (0.0000, 0.0000, 0.5000)
Zn (0.0000, 0.5000, 0.0000)
Zn (0.5000, 0.0000, 0.0000)
Pt (0.0000, 0.0000, 0.0000)

=====

Crystalline KPuGe4 at its relaxed geometry. Source: Alexandria via LeMat-Bulk, functional PBE.

The size of the total moment is 4.9 μB per formula unit. Its space group is F-43m, No. 216. Its electronic total energy is -5.71 eV per atom.

Cell lengths 5.7094, 5.7094, 5.7094 Å; angles 60.00, 60.00, 60.00 degrees
Element x y z (fractional)
Ge (0.6277, 0.6277, 0.1169)
Ge (0.6277, 0.1169, 0.6277)
Ge (0.6277, 0.6277, 0.6277)
Ge (0.1169, 0.6277, 0.6277)
K (0.2500, 0.2500, 0.2500)
Pu (0.0000, 0.0000, 0.0000)

=====

Crystalline KPuGe2 at its relaxed geometry. Source: Alexandria via LeMat-Bulk, functional PBE.

The size of the total moment is 5.2 μB per formula unit. Its space group is P4/mmm, No. 123. The value obtained for the distance to the lowest polymorph of the same formula is 0 meV/atom. Its electronic total energy is -6.30 eV per atom.

Cell lengths 3.2711, 3.2711, 9.3036 Å; angles 90.00, 90.00, 90.00 degrees
Element x y z (fractional)
Ge (0.0000, 0.0000, 0.7794)
Ge (0.0000, 0.0000, 0.2206)
K (0.5000, 0.5000, 0.5000)
Pu (0.5000, 0.5000, 0.0000)

=====

Crystalline KPuGe at its relaxed geometry. Source: Alexandria via LeMat-Bulk, functional PBE.

The size of the total moment is 6.3 μB per formula unit. Its space group is C2/m, No. 12. Its electronic total energy is -6.44 eV per atom.

Cell lengths 6.4005, 10.5141, 5.9411 Å; angles 35.29, 90.00, 107.72 degrees
Element x y z (fractional)
Ge (0.1026, 0.2052, 0.8218)
Ge (0.8974, 0.7948, 0.1782)
K (0.4161, 0.8322, 0.9942)
K (0.5839, 0.1678, 0.0058)
Pu (0.8462, 0.6924, 0.8199)
Pu (0.1538, 0.3076, 0.1801)

=====

Crystalline KPuGe2 at its relaxed geometry. Source: Alexandria via LeMat-Bulk, functional PBE.

The size of the total moment is 6.0 μB per formula unit. Its space group is R-3m, No. 166. The value obtained for the distance to the lowest polymorph of the same formula is 157 meV/atom. Its electronic total energy is -6.14 eV per atom.

Cell lengths 4.8150, 4.8150, 6.9681 Å; angles 69.79, 69.79, 60.00 degrees
Element x y z (fractional)
Ge (0.2921, 0.2921, 0.1237)
Ge (0.7079, 0.7079, 0.8763)
K (0.5000, 0.5000, 0.5000)
Pu (0.0000, 0.0000, 0.0000)